Entry 1:
Below is a relaxed structure of TaTcP, with properties calculated at the PBE-GGA level.

POSCAR file:
```
TaTcP
1.0
-3.0604 -2.4380 -1.5877
-3.3502 1.7653 -1.8682
-0.4942 -0.3131 -4.1819
Ta Tc P
1 1 1
Direct
0.2500 0.2500 0.2500 Ta
0.0000 0.0000 0.0000 Tc
0.5000 0.5000 0.5000 P
```


Entry 2:
Below is a relaxed structure of Mn3BW, with properties calculated at the PBE-GGA level.

POSCAR file:
```
Mn3BW
1.0
-0.3268 -3.4544 -3.0098
-2.9755 -2.1345 2.7729
-3.4840 2.1470 -2.0859
B Mn W
1 3 1
Direct
0.5000 0.5000 0.5000 B
0.0000 0.5000 0.0000 Mn
0.0000 0.0000 0.5000 Mn
0.5000 0.0000 0.0000 Mn
0.0000 0.0000 0.0000 W
```


Number 1: energy of formation 206 meV/atom, polymorph energy (0 for the lowest one) 771 meV/atom. Number 2: energy of formation 2209 meV/atom, polymorph energy (0 for the lowest one) 2142 meV/atom.